No. 1
CrFe2Mo: optimized geometry, GGA-PBE.

a = 2.543 Å, b = 2.543 Å, c = 8.174 Å
α = 90.00°, β = 90.00°, γ = 106.58°
Site moments in Bohr magnetons follow the coordinates.
Fractional positions:
1 Cr 0.500 0.500 0.750  -0.11
2 Mo 0.500 0.500 0.250  -0.06
3 Fe 0.000 0.000 0.514  2.13
4 Fe 0.000 0.000 0.986  2.13

Energy relative to the elements   0.58 eV/f.u.

No. 2
CsNaAg2: optimized geometry, GGA-PBE.

a = 7.883 Å, b = 8.622 Å, c = 8.524 Å
α = 90.00°, β = 90.00°, γ = 90.00°
Fractional positions:
1 Cs 0.250 0.992 0.662
2 Cs 0.750 0.008 0.338
3 Cs 0.750 0.508 0.162
4 Cs 0.250 0.492 0.838
5 Ag 0.927 0.140 0.949
6 Ag 0.573 0.140 0.949
7 Ag 0.073 0.360 0.449
8 Ag 0.427 0.860 0.051
9 Ag 0.073 0.860 0.051
10 Ag 0.573 0.640 0.551
11 Ag 0.427 0.360 0.449
12 Ag 0.927 0.640 0.551
13 Na 0.750 0.338 0.680
14 Na 0.250 0.662 0.320
15 Na 0.750 0.838 0.820
16 Na 0.250 0.162 0.180

Energy relative to the elements   0.17 eV/f.u.

No. 3
SnAsBr2Cl: optimized geometry, GGA-PBE.

a = 5.117 Å, b = 5.117 Å, c = 5.453 Å
α = 90.00°, β = 90.00°, γ = 90.00°
Fractional positions:
1 Br 0.500 0.000 0.000
2 Br 0.000 0.500 0.000
3 As 0.000 0.000 0.500
4 Sn 0.500 0.500 0.500
5 Cl 0.000 0.000 0.000

E_form (uncorrected)   2.6 eV/f.u.

No. 4
Nd14SmTh: optimized geometry, GGA-PBE.

a = 7.333 Å, b = 7.333 Å, c = 10.424 Å
α = 90.00°, β = 90.00°, γ = 90.00°
Fractional positions:
1 Nd 0.122 0.372 0.247
2 Nd 0.628 0.878 0.753
3 Nd 0.122 0.372 0.753
4 Nd 0.375 0.125 0.500
5 Nd 0.628 0.878 0.247
6 Nd 0.875 0.125 0.500
7 Nd 0.628 0.372 0.753
8 Nd 0.122 0.878 0.247
9 Nd 0.628 0.372 0.247
10 Nd 0.875 0.625 0.500
11 Nd 0.875 0.625 0.000
12 Nd 0.375 0.125 0.000
13 Nd 0.375 0.625 0.500
14 Nd 0.122 0.878 0.753
15 Th 0.875 0.125 0.000
16 Sm 0.375 0.625 0.000

Energy relative to the elements   0.37 eV/f.u.

Calculated electronic total energy, -36.8, -7.7, -11.3, -78.5 eV per formula unit (same order as the records).